Computed, not measured: an optimized crystal structure of Zn3HgSb3 at the PBE level of DFT.

Computed properties:
Space-group type: Pm-3n (223)

Geometry as CIF:
```
data_Zn3HgSb3
_chemical_formula_sum 'Zn6 Hg2 Sb6'
_space_group_name_H-M_alt 'P 1'
_space_group_IT_number 1
_cell_length_a 7.5402
_cell_length_b 7.5402
_cell_length_c 7.5402
_cell_angle_alpha 90.00
_cell_angle_beta 90.00
_cell_angle_gamma 90.00
loop_
_space_group_symop_operation_xyz
'x,y,z'
loop_
_atom_site_label
_atom_site_type_symbol
_atom_site_fract_x
_atom_site_fract_y
_atom_site_fract_z
Sb1 Sb 0.2500 0.5000 0.0000
Sb2 Sb 0.5000 0.0000 0.2500
Sb3 Sb 0.7500 0.5000 0.0000
Sb4 Sb 0.0000 0.2500 0.5000
Sb5 Sb 0.5000 0.0000 0.7500
Sb6 Sb 0.0000 0.7500 0.5000
Zn1 Zn 0.5000 0.2500 0.0000
Zn2 Zn 0.2500 0.0000 0.5000
Zn3 Zn 0.5000 0.7500 0.0000
Zn4 Zn 0.7500 0.0000 0.5000
Zn5 Zn 0.0000 0.5000 0.7500
Zn6 Zn 0.0000 0.5000 0.2500
Hg1 Hg 0.0000 0.0000 0.0000
Hg2 Hg 0.5000 0.5000 0.5000
```

***

Computed, not measured: an optimized crystal structure of Zn2HgSb at the PBE level of DFT.

Computed properties:
Energy relative to the lowest polymorph listed for this composition (meV/atom): 13.8
Space-group type: Amm2 (38)

Geometry as CIF:
```
data_Zn2HgSb
_chemical_formula_sum 'Zn2 Hg1 Sb1'
_space_group_name_H-M_alt 'P 1'
_space_group_IT_number 1
_cell_length_a 5.6716
_cell_length_b 5.6716
_cell_length_c 4.0618
_cell_angle_alpha 89.99
_cell_angle_beta 89.99
_cell_angle_gamma 41.33
loop_
_space_group_symop_operation_xyz
'x,y,z'
loop_
_atom_site_label
_atom_site_type_symbol
_atom_site_fract_x
_atom_site_fract_y
_atom_site_fract_z
Hg1 Hg 0.5140 0.5140 0.6247
Zn1 Zn 0.9659 0.9659 0.1247
Zn2 Zn 0.7825 0.7825 0.6252
Sb1 Sb 0.2376 0.2376 0.1253
```

***

Computed, not measured: an optimized crystal structure of ZnHgSb2 at the PBE level of DFT.

Computed properties:
Energy relative to the lowest polymorph listed for this composition (meV/atom): 66.2
Space-group type: Imm2 (44)

Geometry as CIF:
```
data_ZnHgSb2
_chemical_formula_sum 'Zn1 Hg1 Sb2'
_space_group_name_H-M_alt 'P 1'
_space_group_IT_number 1
_cell_length_a 6.7185
_cell_length_b 6.7185
_cell_length_c 6.7185
_cell_angle_alpha 142.85
_cell_angle_beta 145.27
_cell_angle_gamma 51.76
loop_
_space_group_symop_operation_xyz
'x,y,z'
loop_
_atom_site_label
_atom_site_type_symbol
_atom_site_fract_x
_atom_site_fract_y
_atom_site_fract_z
Hg1 Hg 0.1943 0.6943 0.5000
Zn1 Zn 0.5051 0.5051 0.0000
Sb1 Sb 0.9882 0.9882 0.0000
Sb2 Sb 0.8124 0.3124 0.5000
```

***

Computed, not measured: an optimized crystal structure of Zn4HgSb at the PBE level of DFT.

Computed properties:
Space-group type: F-43m (216)

Geometry as CIF:
```
data_Zn4HgSb
_chemical_formula_sum 'Zn4 Hg1 Sb1'
_space_group_name_H-M_alt 'P 1'
_space_group_IT_number 1
_cell_length_a 5.4571
_cell_length_b 5.4571
_cell_length_c 5.4571
_cell_angle_alpha 60.00
_cell_angle_beta 60.00
_cell_angle_gamma 60.00
loop_
_space_group_symop_operation_xyz
'x,y,z'
loop_
_atom_site_label
_atom_site_type_symbol
_atom_site_fract_x
_atom_site_fract_y
_atom_site_fract_z
Zn1 Zn 0.8765 0.3745 0.3745
Zn2 Zn 0.3745 0.3745 0.3745
Zn3 Zn 0.3745 0.3745 0.8765
Zn4 Zn 0.3745 0.8765 0.3745
Sb1 Sb 0.0000 0.0000 0.0000
Hg1 Hg 0.7500 0.7500 0.7500
```

***

Computed, not measured: an optimized crystal structure of ZnHgSb2 at the PBE level of DFT.

Computed properties:
Energy relative to the lowest polymorph listed for this composition (meV/atom): 95.3
Space-group type: Cmm2 (35)

Geometry as CIF:
```
data_ZnHgSb2
_chemical_formula_sum 'Zn1 Hg1 Sb2'
_space_group_name_H-M_alt 'P 1'
_space_group_IT_number 1
_cell_length_a 3.2726
_cell_length_b 3.2726
_cell_length_c 9.6136
_cell_angle_alpha 90.00
_cell_angle_beta 90.00
_cell_angle_gamma 109.04
loop_
_space_group_symop_operation_xyz
'x,y,z'
loop_
_atom_site_label
_atom_site_type_symbol
_atom_site_fract_x
_atom_site_fract_y
_atom_site_fract_z
Sb1 Sb 0.5000 0.5000 0.2814
Sb2 Sb 0.0000 0.0000 0.9901
Hg1 Hg 0.5000 0.5000 0.7218
Zn1 Zn 0.0000 0.0000 0.5067
```

***

Computed, not measured: an optimized crystal structure of ZnHgSb2 at the PBE level of DFT.

Computed properties:
Energy relative to the lowest polymorph listed for this composition (meV/atom): 11.1
Space-group type: C2/m (12)

Geometry as CIF:
```
data_ZnHgSb2
_chemical_formula_sum 'Zn1 Hg1 Sb2'
_space_group_name_H-M_alt 'P 1'
_space_group_IT_number 1
_cell_length_a 4.5394
_cell_length_b 4.5394
_cell_length_c 7.0051
_cell_angle_alpha 69.74
_cell_angle_beta 69.74
_cell_angle_gamma 54.76
loop_
_space_group_symop_operation_xyz
'x,y,z'
loop_
_atom_site_label
_atom_site_type_symbol
_atom_site_fract_x
_atom_site_fract_y
_atom_site_fract_z
Sb1 Sb 0.9659 0.9659 0.9499
Sb2 Sb 0.5341 0.5341 0.5501
Zn1 Zn 0.7500 0.7500 0.7500
Hg1 Hg 0.2500 0.2500 0.2500
```

***

Computed, not measured: an optimized crystal structure of Zn12Hg3Sb5 at the PBE level of DFT.

Computed properties:
Space-group type: Ia-3d (230)

Geometry as CIF:
```
data_Zn12Hg3Sb5
_chemical_formula_sum 'Zn48 Hg12 Sb20'
_space_group_name_H-M_alt 'P 1'
_space_group_IT_number 1
_cell_length_a 13.6005
_cell_length_b 13.6005
_cell_length_c 13.6005
_cell_angle_alpha 109.47
_cell_angle_beta 109.47
_cell_angle_gamma 109.47
loop_
_space_group_symop_operation_xyz
'x,y,z'
loop_
_atom_site_label
_atom_site_type_symbol
_atom_site_fract_x
_atom_site_fract_y
_atom_site_fract_z
Hg1 Hg 0.2500 0.1250 0.3750
Hg2 Hg 0.1250 0.2500 0.8750
Hg3 Hg 0.7500 0.3750 0.1250
Hg4 Hg 0.8750 0.1250 0.2500
Hg5 Hg 0.6250 0.2500 0.3750
Hg6 Hg 0.7500 0.8750 0.6250
Hg7 Hg 0.8750 0.7500 0.1250
Hg8 Hg 0.3750 0.6250 0.2500
Hg9 Hg 0.2500 0.6250 0.8750
Hg10 Hg 0.3750 0.7500 0.6250
Hg11 Hg 0.6250 0.3750 0.7500
Hg12 Hg 0.1250 0.8750 0.7500
Sb1 Sb 0.0000 0.0000 0.5000
Sb2 Sb 0.8750 0.6250 0.7500
Sb3 Sb 0.7500 0.6250 0.3750
Sb4 Sb 0.6250 0.7500 0.8750
Sb5 Sb 0.1250 0.7500 0.3750
Sb6 Sb 0.0000 0.0000 0.0000
Sb7 Sb 0.2500 0.8750 0.1250
Sb8 Sb 0.5000 0.0000 0.0000
Sb9 Sb 0.6250 0.8750 0.2500
Sb10 Sb 0.3750 0.1250 0.7500
Sb11 Sb 0.3750 0.2500 0.1250
Sb12 Sb 0.5000 0.5000 0.0000
Sb13 Sb 0.5000 0.0000 0.5000
Sb14 Sb 0.1250 0.3750 0.2500
Sb15 Sb 0.2500 0.3750 0.6250
Sb16 Sb 0.0000 0.5000 0.0000
Sb17 Sb 0.0000 0.5000 0.5000
Sb18 Sb 0.5000 0.5000 0.5000
Sb19 Sb 0.7500 0.1250 0.8750
Sb20 Sb 0.8750 0.2500 0.6250
Zn1 Zn 0.5945 0.8595 0.4261
Zn2 Zn 0.0945 0.1684 0.2350
Zn3 Zn 0.6405 0.5739 0.9055
Zn4 Zn 0.8595 0.2650 0.4334
Zn5 Zn 0.1405 0.4055 0.0739
Zn6 Zn 0.2350 0.5666 0.6405
Zn7 Zn 0.4055 0.1405 0.5739
Zn8 Zn 0.3595 0.4261 0.0945
Zn9 Zn 0.3316 0.7650 0.4055
Zn10 Zn 0.1405 0.7350 0.5666
Zn11 Zn 0.1684 0.0945 0.7350
Zn12 Zn 0.0739 0.1684 0.4334
Zn13 Zn 0.4261 0.3595 0.5945
Zn14 Zn 0.2350 0.6684 0.0945
Zn15 Zn 0.5666 0.2350 0.1405
Zn16 Zn 0.7650 0.4334 0.3595
Zn17 Zn 0.5739 0.6405 0.4055
Zn18 Zn 0.7350 0.5945 0.1684
Zn19 Zn 0.7350 0.1405 0.0666
Zn20 Zn 0.7650 0.3316 0.9055
Zn21 Zn 0.9055 0.8316 0.7650
Zn22 Zn 0.5666 0.3316 0.9261
Zn23 Zn 0.3316 0.5666 0.4261
Zn24 Zn 0.4334 0.7650 0.8595
Zn25 Zn 0.8595 0.5945 0.9261
Zn26 Zn 0.9334 0.5739 0.1684
Zn27 Zn 0.9261 0.8316 0.5666
Zn28 Zn 0.8316 0.9261 0.0666
Zn29 Zn 0.0666 0.6405 0.7350
Zn30 Zn 0.3595 0.9334 0.7650
Zn31 Zn 0.0739 0.9055 0.1405
Zn32 Zn 0.1684 0.0739 0.9334
Zn33 Zn 0.9055 0.0739 0.6405
Zn34 Zn 0.2650 0.4055 0.8316
Zn35 Zn 0.0666 0.4261 0.8316
Zn36 Zn 0.8316 0.9055 0.2650
Zn37 Zn 0.5739 0.9334 0.6684
Zn38 Zn 0.0945 0.9261 0.3595
Zn39 Zn 0.9334 0.3595 0.2650
Zn40 Zn 0.2650 0.8595 0.9334
Zn41 Zn 0.5945 0.7350 0.6684
Zn42 Zn 0.4334 0.6684 0.0739
Zn43 Zn 0.4055 0.2650 0.3316
Zn44 Zn 0.6405 0.0666 0.2350
Zn45 Zn 0.4261 0.0666 0.3316
Zn46 Zn 0.6684 0.4334 0.5739
Zn47 Zn 0.6684 0.2350 0.5945
Zn48 Zn 0.9261 0.0945 0.8595
```

***

Computed, not measured: an optimized crystal structure of Zn2HgSb at the PBE level of DFT.

Computed properties:
Energy relative to the lowest polymorph listed for this composition (meV/atom): 61.9
Space-group type: Cmm2 (35)

Geometry as CIF:
```
data_Zn2HgSb
_chemical_formula_sum 'Zn2 Hg1 Sb1'
_space_group_name_H-M_alt 'P 1'
_space_group_IT_number 1
_cell_length_a 3.2011
_cell_length_b 3.2011
_cell_length_c 8.8210
_cell_angle_alpha 90.00
_cell_angle_beta 90.00
_cell_angle_gamma 103.62
loop_
_space_group_symop_operation_xyz
'x,y,z'
loop_
_atom_site_label
_atom_site_type_symbol
_atom_site_fract_x
_atom_site_fract_y
_atom_site_fract_z
Sb1 Sb 0.5000 0.5000 0.7870
Zn1 Zn 0.5000 0.5000 0.2202
Zn2 Zn 0.0000 0.0000 0.0278
Hg1 Hg 0.0000 0.0000 0.4649
```

***

For the records above, the corresponding energy relative to the elements, uncorrected values read 0.20, 0.11, 0.16, 0.16, 0.19, 0.11, 0.11, 0.16 eV per atom.